{
  "formula": "Cs3RbNi2Br9",
  "functional": "PBE",
  "state": "optimized geometry",
  "lattice_angstrom": [[-7.092, -0.093, -2.764], [4.768, -5.726, -1.559], [-3.347, -5.173, 8.762]],
  "species": ["Cs", "Cs", "Cs", "Rb", "Ni", "Ni", "Br", "Br", "Br", "Br", "Br", "Br", "Br", "Br", "Br"],
  "frac_coords": [[0.333, 0.667, 0.725], [0.000, 0.000, 0.000], [0.667, 0.333, 0.275], [0.000, 0.000, 0.500], [0.333, 0.667, 0.150], [0.667, 0.333, 0.850], [0.821, 0.179, 0.724], [0.821, 0.642, 0.724], [0.358, 0.179, 0.724], [0.642, 0.821, 0.276], [0.179, 0.358, 0.276], [0.179, 0.821, 0.276], [0.500, 0.000, 0.000], [0.000, 0.500, 0.000], [0.500, 0.500, 0.000]],
  "space_group": "P-3m1",
  "formation_energy_uncorrected_ev_per_fu": -15.51,
  "e_tot_ev_per_atom": -3.044
}



{
  "formula": "Cs2RbNiBr6",
  "functional": "PBE",
  "state": "optimized geometry",
  "lattice_angstrom": [[-7.224, 3.358, 2.613], [-2.445, 0.425, -7.305], [-1.426, -6.324, 4.184]],
  "species": ["Cs", "Cs", "Rb", "Ni", "Br", "Br", "Br", "Br", "Br", "Br"],
  "frac_coords": [[0.152, 0.333, 0.667], [0.848, 0.667, 0.333], [0.500, 0.000, 0.000], [0.000, 0.000, 0.000], [0.826, 0.153, 0.306], [0.826, 0.153, 0.847], [0.826, 0.694, 0.847], [0.174, 0.847, 0.153], [0.174, 0.306, 0.153], [0.174, 0.847, 0.694]],
  "space_group": "P-3m1",
  "formation_energy_uncorrected_ev_per_fu": -11.54,
  "e_tot_ev_per_atom": -3.003
}



{
  "formula": "Cs2NiSBr6",
  "functional": "PBE",
  "state": "optimized geometry",
  "lattice_angstrom": [[-1.230, -7.242, -0.010], [6.900, -1.175, 2.229], [1.068, -3.916, 6.736]],
  "species": ["Cs", "Cs", "Ni", "S", "Br", "Br", "Br", "Br", "Br", "Br"],
  "frac_coords": [[0.750, 0.250, 0.500], [0.250, 0.750, 0.500], [0.000, 0.000, 0.000], [0.500, 0.500, 0.000], [0.200, 0.200, 0.600], [0.800, 0.800, 0.400], [0.252, 0.252, 0.000], [0.748, 0.748, 0.000], [0.748, 0.252, 0.000], [0.252, 0.748, 0.000]],
  "space_group": "I4/mmm",
  "formation_energy_uncorrected_ev_per_fu": -7.49,
  "e_tot_ev_per_atom": -2.914
}



{
  "formula": "Cs2NiSbBr6",
  "functional": "PBE",
  "state": "optimized geometry",
  "lattice_angstrom": [[7.760, 0.000, 0.000], [0.000, 7.760, 0.000], [3.880, 3.880, 5.492]],
  "species": ["Cs", "Cs", "Sb", "Br", "Br", "Br", "Br", "Br", "Br", "Ni"],
  "frac_coords": [[0.750, 0.250, 0.500], [0.250, 0.750, 0.500], [0.000, 0.000, 0.000], [0.261, 0.261, 0.477], [0.739, 0.739, 0.523], [0.261, 0.261, 0.000], [0.739, 0.739, 0.000], [0.739, 0.261, 0.000], [0.261, 0.739, 0.000], [0.500, 0.500, 0.000]],
  "space_group": "Fm-3m",
  "formation_energy_uncorrected_ev_per_fu": -9.66,
  "e_tot_ev_per_atom": -3.131
}



{
  "formula": "Cs2ScNiBr6",
  "functional": "PBE",
  "state": "optimized geometry",
  "lattice_angstrom": [[-3.253, 2.826, -6.322], [0.645, -6.831, -3.386], [-6.130, -3.383, -2.988]],
  "species": ["Cs", "Cs", "Ni", "Sc", "Br", "Br", "Br", "Br", "Br", "Br"],
  "frac_coords": [[0.750, 0.250, 0.500], [0.250, 0.750, 0.500], [0.000, 0.000, 0.000], [0.500, 0.500, 0.000], [0.248, 0.248, 0.505], [0.752, 0.752, 0.495], [0.251, 0.251, 0.000], [0.749, 0.749, 0.000], [0.749, 0.251, 0.000], [0.251, 0.749, 0.000]],
  "space_group": "I4/mmm",
  "formation_energy_uncorrected_ev_per_fu": -13.56,
  "e_tot_ev_per_atom": -3.742
}



{
  "formula": "CsSmNiBr6",
  "functional": "PBE",
  "state": "optimized geometry",
  "lattice_angstrom": [[-4.789, 0.180, 5.272], [0.402, -4.699, 5.340], [4.785, 5.152, 4.171]],
  "species": ["Cs", "Sm", "Ni", "Br", "Br", "Br", "Br", "Br", "Br"],
  "frac_coords": [[0.000, 0.000, 0.000], [0.667, 0.667, 0.500], [0.333, 0.333, 0.500], [0.030, 0.357, 0.310], [0.357, 0.030, 0.689], [0.613, 0.357, 0.690], [0.029, 0.613, 0.689], [0.357, 0.613, 0.310], [0.613, 0.029, 0.310]],
  "space_group": "P312",
  "formation_energy_uncorrected_ev_per_fu": -11.97,
  "e_tot_ev_per_atom": -3.707
}



{
  "formula": "CsNiSn2Br",
  "functional": "PBE",
  "state": "optimized geometry",
  "lattice_angstrom": [[4.846, 0.000, 0.000], [0.000, 9.433, 0.000], [0.000, 0.000, 4.846]],
  "species": ["Cs", "Ni", "Sn", "Sn", "Br"],
  "frac_coords": [[0.500, 0.500, 0.500], [0.000, 0.000, 0.000], [0.000, 0.000, 0.500], [0.500, 0.000, 0.000], [0.000, 0.500, 0.000]],
  "space_group": "P4/mmm",
  "formation_energy_uncorrected_ev_per_fu": -1.74,
  "e_tot_ev_per_atom": -3.610
}



{
  "formula": "CsSrNiBr6",
  "functional": "PBE",
  "state": "optimized geometry",
  "lattice_angstrom": [[7.583, -0.026, 0.190], [3.790, 5.903, 0.137], [0.200, 0.061, 7.902]],
  "species": ["Cs", "Sr", "Ni", "Br", "Br", "Br", "Br", "Br", "Br"],
  "frac_coords": [[0.012, 0.983, 0.952], [0.678, 0.630, 0.455], [0.332, 0.338, 0.512], [0.093, 0.291, 0.287], [0.395, 0.024, 0.689], [0.550, 0.416, 0.733], [0.020, 0.570, 0.686], [0.278, 0.660, 0.346], [0.640, 0.089, 0.341]],
  "space_group": "P1",
  "formation_energy_uncorrected_ev_per_fu": -10.54,
  "e_tot_ev_per_atom": -3.211
}



{
  "formula": "Cs2SrNiBr6",
  "functional": "PBE",
  "state": "optimized geometry",
  "lattice_angstrom": [[-7.581, -2.308, 0.171], [2.215, -7.404, -1.758], [-2.208, -6.013, 4.675]],
  "species": ["Cs", "Cs", "Sr", "Br", "Br", "Br", "Br", "Br", "Br", "Ni"],
  "frac_coords": [[0.750, 0.250, 0.500], [0.250, 0.750, 0.500], [0.000, 0.000, 0.000], [0.269, 0.269, 0.462], [0.731, 0.731, 0.538], [0.270, 0.270, 0.000], [0.730, 0.730, 0.000], [0.730, 0.270, 0.000], [0.270, 0.730, 0.000], [0.500, 0.500, 0.000]],
  "space_group": "Fm-3m",
  "formation_energy_uncorrected_ev_per_fu": -14.21,
  "e_tot_ev_per_atom": -3.342
}



{
  "formula": "Cs2SrNiBr6",
  "functional": "PBE",
  "state": "optimized geometry",
  "lattice_angstrom": [[-3.981, -1.538, -5.806], [-2.845, -6.400, 3.646], [-3.717, 6.930, 0.713]],
  "species": ["Cs", "Cs", "Sr", "Ni", "Br", "Br", "Br", "Br", "Br", "Br"],
  "frac_coords": [[0.188, 0.333, 0.667], [0.812, 0.667, 0.333], [0.500, 0.000, 0.000], [0.000, 0.000, 0.000], [0.793, 0.157, 0.314], [0.793, 0.157, 0.843], [0.793, 0.686, 0.843], [0.207, 0.843, 0.157], [0.207, 0.314, 0.157], [0.207, 0.843, 0.686]],
  "space_group": "P-3m1",
  "formation_energy_uncorrected_ev_per_fu": -14.44,
  "e_tot_ev_per_atom": -3.364
}



{
  "formula": "CsTbNiBr6",
  "functional": "PBE",
  "state": "optimized geometry",
  "lattice_angstrom": [[7.047, 0.001, 0.000], [3.524, 6.104, 0.000], [0.000, 0.000, 8.211]],
  "species": ["Cs", "Tb", "Ni", "Br", "Br", "Br", "Br", "Br", "Br"],
  "frac_coords": [[0.000, 0.000, 0.000], [0.667, 0.667, 0.500], [0.333, 0.333, 0.500], [0.025, 0.360, 0.312], [0.360, 0.025, 0.688], [0.615, 0.360, 0.688], [0.025, 0.615, 0.688], [0.360, 0.615, 0.312], [0.615, 0.025, 0.312]],
  "space_group": "P312",
  "formation_energy_uncorrected_ev_per_fu": -12.03,
  "e_tot_ev_per_atom": -3.703
}



{
  "formula": "CsNiTeBr6",
  "functional": "PBE",
  "state": "optimized geometry",
  "lattice_angstrom": [[-1.634, -4.874, -4.877], [4.796, -5.463, -1.967], [-3.275, -4.416, 5.817]],
  "species": ["Cs", "Ni", "Te", "Br", "Br", "Br", "Br", "Br", "Br"],
  "frac_coords": [[0.006, 0.997, 0.000], [0.662, 0.667, 0.501], [0.339, 0.330, 0.500], [0.975, 0.390, 0.311], [0.388, 0.963, 0.686], [0.634, 0.385, 0.684], [0.974, 0.635, 0.690], [0.388, 0.650, 0.313], [0.634, 0.983, 0.315]],
  "space_group": "P1",
  "formation_energy_uncorrected_ev_per_fu": -5.30,
  "e_tot_ev_per_atom": -2.791
}